# 1
Tb2SmSn7, optimized geometry, DFT PBE; DFT total energy = -4.762 eV/atom; volume = 263 Å³/cell
1.0
2.2100 -13.3143 0.0000
2.2100 13.3143 0.0000
0.0000 0.0000 4.4729
Tb Sm Sn
2 1 7
direct
0.1887 0.8113 0.0000
0.8113 0.1887 0.0000
0.5000 0.5000 0.5000
0.0000 0.0000 0.0000
0.0971 0.9029 0.5000
0.2883 0.7117 0.5000
0.4034 0.5966 0.0000
0.5966 0.4034 0.0000
0.7117 0.2883 0.5000
0.9029 0.0971 0.5000

---

# 2
MgZnGa2Cu4, optimized geometry, DFT PBE; DFT total energy = -3.074 eV/atom; volume = 109 Å³/cell
1.0
4.2484 0.0000 0.0000
0.0000 4.2484 0.0000
0.0000 0.0000 6.0401
Mg Zn Ga Cu
1 1 2 4
direct
0.0000 0.0000 0.0000
0.5000 0.5000 0.5000
0.0000 0.0000 0.5000
0.5000 0.5000 0.0000
0.0000 0.5000 0.2587
0.0000 0.5000 0.7413
0.5000 0.0000 0.2587
0.5000 0.0000 0.7413

---

# 3
DySI, optimized geometry, DFT PBE; DFT total energy = -5.237 eV/atom; volume = 217 Å³/cell
1.0
4.1880 0.0000 0.0000
0.0000 5.3529 0.0000
0.0000 0.0000 9.6641
Dy S I
2 2 2
direct
0.2500 0.2500 0.1183
0.7500 0.7500 0.8817
0.2500 0.7500 0.0649
0.7500 0.2500 0.9351
0.2500 0.7500 0.6516
0.7500 0.2500 0.3484

---

# 4
Ni3C, optimized geometry, DFT PBE; DFT total energy = -5.583 eV/atom; volume = 76 Å³/cell
1.0
3.3652 0.0000 0.0000
0.0000 3.3652 0.0000
0.0000 0.0000 6.6994
Ni C
6 2
direct
0.0000 0.0000 0.0000
0.0000 0.5000 0.2500
0.0000 0.5000 0.7500
0.5000 0.0000 0.2500
0.5000 0.0000 0.7500
0.5000 0.5000 0.5000
0.0000 0.0000 0.5000
0.5000 0.5000 0.0000

---

# 5
Cs2Th3P3, optimized geometry, DFT PBE; DFT total energy = -4.868 eV/atom; volume = 268 Å³/cell
1.0
3.1410 1.8134 7.8372
-3.1410 1.8134 7.8372
0.0000 -3.6269 7.8372
Cs Th P
2 3 3
direct
0.1803 0.1803 0.1803
0.8197 0.8197 0.8197
0.0000 0.5000 0.5000
0.5000 0.0000 0.5000
0.5000 0.5000 0.0000
0.0458 0.0458 0.0458
0.5000 0.5000 0.5000
0.9542 0.9542 0.9542

---

# 6
RbNd2CuSe4, optimized geometry, DFT PBE; DFT total energy = -5.030 eV/atom; volume = 457 Å³/cell
1.0
2.1203 -7.3281 0.0000
2.1203 7.3281 0.0000
0.0000 0.0000 14.6922
Rb Nd Cu Se
2 4 2 8
direct
0.1076 0.8924 0.7500
0.8924 0.1076 0.2500
0.3650 0.6350 0.5628
0.3650 0.6350 0.9372
0.6350 0.3650 0.0628
0.6350 0.3650 0.4372
0.1619 0.8381 0.2500
0.8381 0.1619 0.7500
0.0000 0.0000 0.0000
0.0000 0.0000 0.5000
0.2634 0.7366 0.1139
0.2634 0.7366 0.3861
0.4293 0.5707 0.7500
0.5707 0.4293 0.2500
0.7366 0.2634 0.6139
0.7366 0.2634 0.8861

---

# 7
Dy3In3Ag2Au, optimized geometry, DFT PBE; DFT total energy = -3.956 eV/atom; volume = 210 Å³/cell
1.0
7.8409 0.0000 0.0000
-3.9205 6.7904 0.0000
0.0000 0.0000 3.9380
Dy In Ag Au
3 3 2 1
direct
0.0000 0.3998 0.0000
0.3998 0.0000 0.0000
0.6002 0.6002 0.0000
0.0000 0.7349 0.5000
0.2651 0.2651 0.5000
0.7349 0.0000 0.5000
0.3333 0.6667 0.5000
0.6667 0.3333 0.5000
0.0000 0.0000 0.0000

---

# 8
Tb3HoIr8, optimized geometry, DFT PBE; energy of formation = -0.811 eV/atom; DFT total energy = -8.253 eV/atom; volume = 217 Å³/cell
1.0
2.6757 1.5448 8.7335
-2.6757 1.5448 8.7335
0.0000 -3.0896 8.7335
Tb Ho Ir
3 1 8
direct
0.0000 0.0000 0.0000
0.1251 0.1251 0.1251
0.6248 0.6248 0.6248
0.4999 0.4999 0.4999
0.0623 0.0623 0.5621
0.0623 0.5621 0.0623
0.0629 0.5625 0.5625
0.3124 0.3124 0.3124
0.5621 0.0623 0.0623
0.5625 0.0629 0.5625
0.5625 0.5625 0.0629
0.8125 0.8125 0.8125

---

# 9
Na10ZnSn12, optimized geometry, DFT PBE; DFT total energy = -2.848 eV/atom; volume = 704 Å³/cell
1.0
-5.6053 5.6053 5.6053
5.6053 -5.6053 5.6053
5.6053 5.6053 -5.6053
Na Zn Sn
10 1 12
direct
0.0000 0.0000 0.3780
0.0000 0.3780 0.0000
0.2500 0.5000 0.7500
0.2500 0.7500 0.5000
0.3780 0.0000 0.0000
0.5000 0.2500 0.7500
0.5000 0.7500 0.2500
0.6220 0.6220 0.6220
0.7500 0.2500 0.5000
0.7500 0.5000 0.2500
0.0000 0.0000 0.0000
0.0000 0.6292 0.8111
0.0000 0.8111 0.6292
0.1819 0.3708 0.3708
0.1889 0.1889 0.8181
0.1889 0.8181 0.1889
0.3708 0.1819 0.3708
0.3708 0.3708 0.1819
0.6292 0.0000 0.8111
0.6292 0.8111 0.0000
0.8111 0.0000 0.6292
0.8111 0.6292 0.0000
0.8181 0.1889 0.1889

---

# 10
Cu, optimized geometry, DFT PBE; energy of formation = 0.157 eV/atom; DFT total energy = -3.560 eV/atom; volume = 102 Å³/cell
1.0
2.5176 0.0000 0.0000
-1.2588 2.1803 0.0000
0.0000 0.0000 18.6228
Cu
6
direct
0.0000 0.0000 0.1674
0.0000 0.0000 0.8326
0.3333 0.6667 0.2802
0.3333 0.6667 0.9441
0.6667 0.3333 0.0559
0.6667 0.3333 0.7198

---

# 11
Sc2GaOs, optimized geometry, DFT PBE; DFT total energy = -6.691 eV/atom; volume = 170 Å³/cell
1.0
4.0394 0.0000 0.0000
-2.0197 3.4982 0.0000
0.0000 0.0000 12.0640
Sc Ga Os
4 2 2
direct
0.3333 0.6667 0.1002
0.3333 0.6667 0.3998
0.6667 0.3333 0.6002
0.6667 0.3333 0.8998
0.3333 0.6667 0.7500
0.6667 0.3333 0.2500
0.0000 0.0000 0.0000
0.0000 0.0000 0.5000

---

# 12
PaGa2Ni2, optimized geometry, DFT PBE; DFT total energy = -5.801 eV/atom; volume = 162 Å³/cell
1.0
3.9262 0.0000 0.0000
0.0000 3.9262 0.0000
0.0000 0.0000 10.5397
Pa Ga Ni
2 4 4
direct
0.0000 0.0000 0.0000
0.5000 0.5000 0.5000
0.0000 0.5000 0.2500
0.0000 0.5000 0.7500
0.5000 0.0000 0.2500
0.5000 0.0000 0.7500
0.0000 0.0000 0.3892
0.0000 0.0000 0.6108
0.5000 0.5000 0.1108
0.5000 0.5000 0.8892

---

- Look up the volume of the twelfth one.
  162 Å³/cell

---

- Which value of volume does entry 4 give?
  76 Å³/cell